Record 1
First-principles (PBE) data for crystalline Pr2DyTe5Au at its relaxed geometry, as listed in Alexandria via LeMat-Bulk.

Structure (extended XYZ):
```
18
Lattice="2.188 -9.583 0.000 2.188 9.583 0.000 0.000 0.000 13.272" Properties=species:S:1:pos:R:3 pbc="T T T"
Pr 2.188 7.410 6.636
Pr 2.188 7.196 1.589
Pr 2.188 -7.196 8.225
Pr 2.188 -7.410 0.000
Dy 2.188 5.966 10.898
Dy 2.188 -5.966 4.262
Te 2.188 8.820 11.776
Te 2.188 4.064 6.398
Te 2.188 3.730 2.014
Te 2.188 2.815 10.779
Te 2.188 -0.009 1.221
Te 2.188 0.009 7.857
Te 2.188 -2.815 4.143
Te 2.188 -3.730 8.650
Te 2.188 -4.064 13.034
Te 2.188 -8.820 5.140
Au 2.188 1.403 3.614
Au 2.188 -1.403 10.250
```

ΔE_f (raw): -1.206 eV per atom
space group: Cmc2_1, No. 36

---

Record 2
First-principles (PBE) data for crystalline PrDyTm2Au4 at its relaxed geometry, as listed in Alexandria via LeMat-Bulk.

Structure (extended XYZ):
```
8
Lattice="2.539 1.466 8.498 -2.539 1.466 8.498 0.000 -2.931 8.498" Properties=species:S:1:pos:R:3 pbc="T T T"
Pr 0.000 0.000 0.000
Dy 0.000 0.000 12.748
Tm 0.000 0.000 6.330
Tm 0.000 0.000 19.166
Au 0.000 0.000 3.266
Au 0.000 0.000 9.744
Au 0.000 0.000 15.751
Au 0.000 0.000 22.229
```

space group: R-3m, No. 166

---

Record 3
First-principles (PBE) data for crystalline PrDyZnAu at its relaxed geometry, as listed in Alexandria via LeMat-Bulk.

Structure (extended XYZ):
```
4
Lattice="0.000 3.664 3.664 3.664 0.000 3.664 3.664 3.664 0.000" Properties=species:S:1:pos:R:3 pbc="T T T"
Pr 0.000 0.000 0.000
Dy 3.664 3.664 3.664
Zn 1.832 1.832 1.832
Au 5.497 5.497 5.497
```

space group: F-43m, No. 216

---

Record 4
First-principles (PBE) data for crystalline PrDyZnAu at its relaxed geometry, as listed in Alexandria via LeMat-Bulk.

Structure (extended XYZ):
```
4
Lattice="3.662 0.000 0.000 0.000 3.662 0.000 0.000 0.000 7.283" Properties=species:S:1:pos:R:3 pbc="T T T"
Pr 0.000 0.000 0.000
Dy 0.000 0.000 3.612
Zn 1.831 1.831 1.924
Au 1.831 1.831 5.223
```

space group: P4mm, No. 99

---

Record 5
First-principles (PBE) data for crystalline Dy5Pt2Au at its relaxed geometry, as listed in Alexandria via LeMat-Bulk.

Structure (extended XYZ):
```
16
Lattice="-3.891 3.891 6.571 3.891 -3.891 6.571 3.891 3.891 -6.571" Properties=species:S:1:pos:R:3 pbc="T T T"
Dy 0.000 0.000 0.000
Dy 5.151 1.259 -1.847
Dy 1.259 2.632 -1.847
Dy 5.151 1.259 1.847
Dy 1.259 2.632 1.847
Dy 0.000 0.000 6.571
Dy 2.632 1.259 4.723
Dy -1.259 2.632 4.723
Dy 2.632 1.259 8.418
Dy -1.259 2.632 8.418
Pt 2.836 1.055 0.000
Pt 2.836 -1.055 6.571
Pt 1.055 4.946 0.000
Pt 1.055 2.836 6.571
Au 0.000 0.000 3.285
Au 0.000 0.000 9.856
```

space group: I4/mcm, No. 140

---

Record 6
First-principles (PBE) data for crystalline Dy4PtAu at its relaxed geometry, as listed in Alexandria via LeMat-Bulk.

Structure (extended XYZ):
```
12
Lattice="7.055 0.000 0.000 0.000 7.010 0.000 -0.290 0.000 6.980" Properties=species:S:1:pos:R:3 pbc="T T T"
Dy 1.042 1.121 1.200
Dy 0.897 2.385 4.690
Dy 2.315 4.599 1.018
Dy 2.170 5.917 4.509
Dy 4.595 1.094 2.472
Dy 4.450 2.412 5.962
Dy 5.867 4.626 2.291
Dy 5.722 5.890 5.781
Pt -0.145 0.000 3.490
Pt 0.000 3.505 0.000
Au 3.528 0.000 0.000
Au 3.382 3.505 3.490
```

space group: P2_1/c, No. 14

---

Number 1: E -4.889 eV per atom. Number 2: E -4.765 eV per atom. Number 3: E -4.023 eV per atom. Number 4: E -4.050 eV per atom. Number 5: E -5.709 eV per atom. Number 6: E -5.252 eV per atom.